Entry 1:
Here is Y3Tl3VS8 after structural relaxation from the Alexandria database. Energies are from PBE-GGA.

Unit cell a=7.7848 b=7.7845 c=8.7892 alpha=116.30 beta=90.00 gamma=120.00
Closest atoms and distances in Å follow each position.
Fractional positions:
Y (0.5000, 0.0000, 0.5000)  6 S 2.71-2.76
Y (0.0000, 0.5000, 0.5000)  6 S 2.71-2.75
Y (0.5000, 0.5000, 0.5000)  6 S 2.71-2.76
S (0.2125, 0.4250, 0.6869)  1 V 2.47, 2 Y 2.75-2.76
S (0.2662, 0.5325, 0.2987)  3 Y 2.71
S (0.7619, 0.9744, 0.6869)  1 V 2.47, 2 Y 2.75-2.76
S (0.2125, 0.9744, 0.6869)  1 V 2.47, 2 Y 2.75-2.76
S (0.7875, 0.0256, 0.3131)  1 V 2.47, 2 Y 2.75-2.76
S (0.2381, 0.0256, 0.3131)  1 V 2.47, 2 Y 2.75-2.76
S (0.7338, 0.4675, 0.7013)  3 Y 2.71
S (0.7875, 0.5750, 0.3131)  1 V 2.47, 2 Y 2.75-2.76
V (0.0000, 0.0000, 0.5000)  6 S 2.47
Tl (0.0000, 0.5000, 0.0000)  6 S 3.18-3.19
Tl (0.0000, 0.0000, 0.0000)  6 S 3.18-3.19
Tl (0.5000, 0.5000, 0.0000)  6 S 3.18-3.19

M_tot: 1.011 μB per formula unit
calculated density: 5.0 g cm⁻³
ΔE_f (raw): -1.295 eV/atom
VASP energy: -5.8705 eV/atom


Entry 2:
Here is ZrTl3V2S6 after structural relaxation from the Alexandria database. Energies are from PBE-GGA.

Unit cell a=6.1736 b=6.1736 c=10.0214 alpha=107.86 beta=107.86 gamma=119.97
Closest atoms and distances in Å follow each position.
Fractional positions:
Tl (0.5000, 0.5000, 0.5000)  6 S 3.34-3.36, 6 Tl 3.56-3.57
Tl (0.8336, 0.1664, 0.5000)  6 S 3.24-3.26, 6 Tl 3.56-3.57
Tl (0.1664, 0.8336, 0.5000)  6 S 3.24-3.26, 6 Tl 3.56-3.57
S (0.1766, 0.5269, 0.1773)  2 V 2.45, 1 Zr 2.58
S (0.4731, 0.8234, 0.8227)  2 V 2.45, 1 Zr 2.58
S (0.8257, 0.8257, 0.1771)  2 V 2.45, 1 Zr 2.58
S (0.5269, 0.1766, 0.1773)  2 V 2.45, 1 Zr 2.58
S (0.8234, 0.4731, 0.8227)  2 V 2.45, 1 Zr 2.58
S (0.1743, 0.1743, 0.8229)  2 V 2.45, 1 Zr 2.58
Zr (0.0000, 0.0000, 0.0000)  6 S 2.58
V (0.6668, 0.3332, 0.0000)  6 S 2.45
V (0.3332, 0.6668, 0.0000)  6 S 2.45

M_tot: 3.786 μB per formula unit
calculated density: 6.3 g cm⁻³
ΔE_f (raw): -0.856 eV/atom
VASP energy: -5.7432 eV/atom


Entry 3:
Here is Tl3WS after structural relaxation from the Alexandria database. Energies are from PBE-GGA.

Unit cell a=5.4465 b=5.4465 c=5.4465 alpha=90.00 beta=90.00 gamma=90.00
Closest atoms and distances in Å follow each position.
Fractional positions:
Tl (0.0000, 0.5000, 0.0000)  2 W 2.72
Tl (0.5000, 0.0000, 0.0000)  2 W 2.72
Tl (0.0000, 0.0000, 0.5000)  2 W 2.72
W (0.0000, 0.0000, 0.0000)  6 Tl 2.72
S (0.5000, 0.5000, 0.5000)  12 Tl 3.85

M_tot: 3.167 μB per formula unit
calculated density: 8.5 g cm⁻³
ΔE_f (raw): 0.989 eV/atom
VASP energy: -3.8464 eV/atom
E above lowest polymorph: 0 meV/atom


Entry 4:
Here is TlWS2 after structural relaxation from the Alexandria database. Energies are from PBE-GGA.

Unit cell a=4.6057 b=4.6057 c=4.6057 alpha=60.00 beta=60.00 gamma=60.00
Closest atoms and distances in Å follow each position.
Fractional positions:
S (0.2500, 0.2500, 0.2500)  4 Tl 2.82, 4 W 2.82
S (0.7500, 0.7500, 0.7500)  4 Tl 2.82, 4 W 2.82
Tl (0.5000, 0.5000, 0.5000)  8 S 2.82
W (0.0000, 0.0000, 0.0000)  8 S 2.82

M_tot: 0.000 μB per formula unit
calculated density: 10.9 g cm⁻³
ΔE_f (raw): 0.593 eV/atom
VASP energy: -5.3009 eV/atom
E above lowest polymorph: 977 meV/atom


Entry 5:
Here is Tl3WS4 after structural relaxation from the Alexandria database. Energies are from PBE-GGA.

Unit cell a=6.7284 b=6.7284 c=6.7284 alpha=109.47 beta=109.47 gamma=109.47
Closest atoms and distances in Å follow each position.
Fractional positions:
S (0.6657, 0.0000, 0.0000)  1 W 2.25
S (0.0000, 0.0000, 0.6657)  1 W 2.25
S (0.3343, 0.3343, 0.3343)  1 W 2.25
S (0.0000, 0.6657, 0.0000)  1 W 2.25
Tl (0.5000, 0.5000, 0.0000)  4 S 3.17
Tl (0.5000, 0.0000, 0.5000)  4 S 3.17
Tl (0.0000, 0.5000, 0.5000)  4 S 3.17
W (0.0000, 0.0000, 0.0000)  4 S 2.25

M_tot: 1.080 μB per formula unit
calculated density: 6.6 g cm⁻³
ΔE_f (raw): -0.401 eV/atom
VASP energy: -4.9709 eV/atom


Entry 6:
Here is TlW4S8 after structural relaxation from the Alexandria database. Energies are from PBE-GGA.

Unit cell a=3.2590 b=8.5885 c=9.0152 alpha=83.77 beta=79.59 gamma=79.06
Closest atoms and distances in Å follow each position.
Fractional positions:
W (0.1982, 0.5008, 0.1028)  5 S 2.39-2.42
W (0.6863, 0.1420, 0.4854)  5 S 2.38-2.42
W (0.3451, 0.8614, 0.4484)  5 S 2.38-2.42
W (0.8333, 0.5025, 0.8309)  5 S 2.39-2.42
S (0.2051, 0.6969, 0.8929)  3 W 2.39-2.40
S (0.1608, 0.0192, 0.6592)  3 W 2.38-2.42
S (0.4739, 0.3436, 0.7085)  3 W 2.42-2.71
S (0.8264, 0.3065, 0.0408)  3 W 2.39-2.40
S (0.1525, 0.3256, 0.3694)  3 W 2.42-2.69
S (0.8706, 0.9842, 0.2746)  3 W 2.38-2.42
S (0.8790, 0.6777, 0.5643)  3 W 2.42-2.69
S (0.5575, 0.6597, 0.2253)  3 W 2.42-2.71
Tl (0.5157, 0.0017, 0.9669)  8 S 3.15-3.17, 2 Tl 3.26

M_tot: 0.000 μB per formula unit
calculated density: 8.2 g cm⁻³
ΔE_f (raw): -0.508 eV/atom
VASP energy: -7.2159 eV/atom


Entry 7:
Here is TlW3S after structural relaxation from the Alexandria database. Energies are from PBE-GGA.

Unit cell a=4.9987 b=4.9987 c=4.9987 alpha=90.00 beta=90.00 gamma=90.00
Closest atoms and distances in Å follow each position.
Fractional positions:
W (0.0000, 0.5000, 0.0000)  2 Tl 2.50
W (0.0000, 0.0000, 0.5000)  2 Tl 2.50
W (0.5000, 0.0000, 0.0000)  2 Tl 2.50
S (0.5000, 0.5000, 0.5000)  12 W 3.53
Tl (0.0000, 0.0000, 0.0000)  6 W 2.50

M_tot: 0.000 μB per formula unit
calculated density: 10.5 g cm⁻³
ΔE_f (raw): 3.556 eV/atom
VASP energy: -5.5149 eV/atom
E above lowest polymorph: 2545 meV/atom


Entry 8:
Here is Tl2WS after structural relaxation from the Alexandria database. Energies are from PBE-GGA.

Unit cell a=4.9873 b=4.9873 c=4.9873 alpha=60.00 beta=60.00 gamma=60.00
Closest atoms and distances in Å follow each position.
Fractional positions:
Tl (0.7500, 0.7500, 0.7500)  4 S 3.05, 4 W 3.05
Tl (0.2500, 0.2500, 0.2500)  4 S 3.05, 4 W 3.05
S (0.0000, 0.0000, 0.0000)  8 Tl 3.05
W (0.5000, 0.5000, 0.5000)  8 Tl 3.05

M_tot: 0.423 μB per formula unit
calculated density: 11.8 g cm⁻³
ΔE_f (raw): 1.299 eV/atom
VASP energy: -4.1543 eV/atom


Entry 9:
Here is TlWS2 after structural relaxation from the Alexandria database. Energies are from PBE-GGA.

Unit cell a=6.6844 b=6.6844 c=6.8845 alpha=60.96 beta=60.96 gamma=90.00
Closest atoms and distances in Å follow each position.
Fractional positions:
S (0.5105, 0.1250, 0.2500)  2 W 2.28
S (0.3750, 0.4895, 0.7500)  2 W 2.28
S (0.2395, 0.6250, 0.2500)  2 W 2.28
S (0.8750, 0.7605, 0.7500)  2 W 2.28
Tl (0.0000, 0.0000, 0.0000)  4 S 3.21
Tl (0.7500, 0.2500, 0.5000)  4 S 3.21
W (0.2500, 0.7500, 0.5000)  4 S 2.28
W (0.5000, 0.5000, 0.0000)  4 S 2.28

M_tot: 0.000 μB per formula unit
calculated density: 6.7 g cm⁻³
ΔE_f (raw): -0.055 eV/atom
VASP energy: -5.9491 eV/atom
E above lowest polymorph: 328 meV/atom


Entry 10:
Here is Tl3WS after structural relaxation from the Alexandria database. Energies are from PBE-GGA.

Unit cell a=5.5248 b=5.5248 c=5.5248 alpha=90.00 beta=90.00 gamma=90.00
Closest atoms and distances in Å follow each position.
Fractional positions:
S (0.0000, 0.0000, 0.0000)  6 Tl 2.76
Tl (0.0000, 0.5000, 0.0000)  2 S 2.76
Tl (0.0000, 0.0000, 0.5000)  2 S 2.76
Tl (0.5000, 0.0000, 0.0000)  2 S 2.76
W (0.5000, 0.5000, 0.5000)  12 Tl 3.91

M_tot: 4.579 μB per formula unit
calculated density: 8.2 g cm⁻³
ΔE_f (raw): 1.382 eV/atom
VASP energy: -3.4542 eV/atom
E above lowest polymorph: 392 meV/atom